# 1
Entry from the Alexandria database: an optimized crystal structure of MgTe2Pt (GGA-PBE).

Summary:
Formation energy (no corrections) (kJ per mole of atoms): -42.5

a b c (Å): 4.061 7.046 5.745
angles (deg): 35.05 90.00 90.00
Positions (direct):
Te1 0.000 0.000 0.000
Te2 0.500 0.500 0.000
Pt1 0.000 0.000 0.500
Mg1 0.500 0.500 0.500

# 2
Entry from the Alexandria database: an optimized crystal structure of Sc2Fe2Ru (GGA-PBE).

Summary:
Energy relative to the elements (kJ per mole of atoms): -13

a b c (Å): 6.211 6.211 4.139
angles (deg): 90.00 90.00 90.00
Site moments in Bohr magnetons follow the coordinates.
Positions (direct):
Fe1 0.376 0.876 0.000  1.32
Fe2 0.124 0.376 0.000  1.37
Fe3 0.624 0.124 0.000  1.32
Fe4 0.876 0.624 0.000  1.37
Ru1 0.000 0.000 0.000  0.32
Ru2 0.500 0.500 0.000  0.32
Sc1 0.181 0.681 0.500  -0.21
Sc2 0.681 0.819 0.500  -0.22
Sc3 0.819 0.319 0.500  -0.21
Sc4 0.319 0.181 0.500  -0.22

# 3
Entry from the Alexandria database: an optimized crystal structure of RbTl2ZnRu (GGA-PBE).

Summary:
Energy relative to the elements (kJ per mole of atoms): 6

a b c (Å): 5.346 5.346 5.052
angles (deg): 90.00 90.00 90.00
Positions (direct):
Ru1 0.000 0.000 0.000
Tl1 0.000 0.500 0.000
Tl2 0.500 0.000 0.000
Zn1 0.000 0.000 0.500
Rb1 0.500 0.500 0.500

# 4
Entry from the Alexandria database: an optimized crystal structure of YHgPb2 (GGA-PBE).

Summary:
Energy relative to the elements (kJ per mole of atoms): -26

a b c (Å): 4.760 6.315 6.314
angles (deg): 44.31 67.65 67.61
Positions (direct):
Pb1 0.000 0.001 0.000
Pb2 0.500 0.500 0.500
Y1 0.750 0.750 0.750
Hg1 0.250 0.250 0.250

# 5
Entry from the Alexandria database: an optimized crystal structure of Pm6Tl3Co (GGA-PBE).

Summary:
Energy relative to the elements (kJ per mole of atoms): -19

a b c (Å): 6.051 9.087 10.936
angles (deg): 90.00 87.39 90.00
Positions (direct):
Tl1 0.500 0.500 0.000
Tl2 0.592 0.880 0.738
Tl3 0.000 0.000 0.500
Tl4 0.092 0.620 0.238
Tl5 0.908 0.380 0.762
Tl6 0.408 0.120 0.262
Co1 0.000 0.000 0.000
Co2 0.500 0.500 0.500
Pm1 0.075 0.304 0.064
Pm2 0.609 0.155 0.942
Pm3 0.385 0.543 0.723
Pm4 0.575 0.196 0.564
Pm5 0.115 0.043 0.777
Pm6 0.615 0.457 0.277
Pm7 0.925 0.696 0.936
Pm8 0.425 0.804 0.436
Pm9 0.109 0.345 0.442
Pm10 0.885 0.957 0.223
Pm11 0.391 0.845 0.058
Pm12 0.891 0.655 0.558

no.,total DFT energy (no corrections) (eV/atom),density of states at the Fermi level (states/eV per cell)
1,-3.92,1.1
2,-7.90,7.4
3,-3.19,1.6
4,-3.81,3.4
5,-4.46,22.1